# TaSi

A relaxed structure of TaSi (PBE, the Alexandria database).

abc: 7.1186 7.1186 4.8389
angles: 90.00 90.00 120.00
Fractional coordinates of all 12 atoms:
Ta 0.0595 0.4299 0.2500
Ta 0.3704 0.9405 0.2500
Ta 0.4299 0.3704 0.7500
Ta 0.5701 0.6296 0.2500
Ta 0.6296 0.0595 0.7500
Ta 0.9405 0.5701 0.7500
Si 0.0324 0.2484 0.7500
Si 0.2161 0.9676 0.7500
Si 0.2484 0.2161 0.2500
Si 0.7516 0.7839 0.7500
Si 0.7839 0.0324 0.2500
Si 0.9676 0.7516 0.2500

Values from the calculation:
The value obtained for the total magnetization is 0.000 μB/f.u. For the total energy, the calculation gives -102.04 eV for the cell shown. The calculation puts the formation energy without anion corrections at 0.13 eV per atom. The density of states at the Fermi level comes out at 7.34 states/eV per cell. The space group is P6_3/m.